Density functional theory data (PBE) for an optimized crystal structure of BaLi3Pa4Se12.

Computed properties:
As for the total energy: -229.369 eV per cell. Its crystal system is cubic. The calculation puts the density of states at the Fermi level at 10.94 states/eV/f.u. The formation energy from raw total energies comes out at -1361 meV per atom.

Cell and atoms, written as CIF:
```
data_BaLi3Pa4Se12
_chemical_formula_sum 'Ba2 Li6 Pa8 Se24'
_cell_length_a 10.4489
_cell_length_b 10.4489
_cell_length_c 10.4489
_cell_angle_alpha 90.00
_cell_angle_beta 90.00
_cell_angle_gamma 90.00
_symmetry_space_group_name_H-M 'I m -3'
_symmetry_Int_Tables_number 204
_symmetry_space_group_name_Hall '-I 2 2 3'
loop_
_atom_site_label
_atom_site_type_symbol
_atom_site_fract_x
_atom_site_fract_y
_atom_site_fract_z
Ba1 Ba 0.0000 0.0000 0.0000
Li1 Li 0.0000 0.0000 0.5000
Pa1 Pa 0.2500 0.2500 0.2500
Se1 Se 0.0000 0.3035 0.1734
```